Here is crystalline CdNi2Se at its relaxed geometry from Alexandria via LeMat-Bulk. Energies are from GGA-PBE.

Calculated values
VASP energy: -46.64 eV/cell
Formation energy without anion corrections: 104 meV/atom

Cell lengths 3.6754, 3.6754, 18.5680 Å; angles 90.00, 90.00, 120.00 degrees
Space group R3m (No. 160, hexagonal axes)
Asymmetric unit:
1 Cd 0.0000 0.0000 0.0000 (multiplicity 3)
2 Ni 0.0000 0.0000 0.2469 (multiplicity 3)
3 Ni 0.0000 0.0000 0.5228 (multiplicity 3)
4 Se 0.0000 0.0000 0.8060 (multiplicity 3)